(1)
# PBE HfNb2H4, relaxed
data_HfNb2H4
_cell_length_a 5.869
_cell_length_b 5.869
_cell_length_c 5.862
_cell_angle_alpha 120.16
_cell_angle_beta 120.16
_cell_angle_gamma 90.05
_symmetry_space_group_name_H-M 'P 1'
_symmetry_Int_Tables_number 1
loop_
_symmetry_equiv_pos_as_xyz
'x,y,z'
loop_
_atom_site_label
_atom_site_type_symbol
_atom_site_fract_x
_atom_site_fract_y
_atom_site_fract_z
_atom_site_occupancy
H1 H 0.862 0.140 0.725 1
H2 H 0.390 0.612 0.225 1
H3 H 0.415 0.137 0.275 1
H4 H 0.835 0.613 0.225 1
H5 H 0.863 0.585 0.725 1
H6 H 0.860 0.138 0.275 1
H7 H 0.388 0.610 0.775 1
H8 H 0.387 0.165 0.775 1
Hf1 Hf 0.252 0.748 0.500 1
Hf2 Hf 0.998 0.002 0.000 1
Nb1 Nb 0.625 0.875 0.250 1
Nb2 Nb 0.125 0.375 0.750 1
Nb3 Nb 0.625 0.375 0.750 1
Nb4 Nb 0.625 0.375 0.250 1
# Offset from the most stable computed form ... 0.0000 eV per atom
# Magnetic moment ... 0.0 μB/f.u.

=====

(2)
# PBE BeAuO3, relaxed
data_BeAuO3
_cell_length_a 3.526
_cell_length_b 3.526
_cell_length_c 3.526
_cell_angle_alpha 90.00
_cell_angle_beta 90.00
_cell_angle_gamma 90.00
_symmetry_space_group_name_H-M 'P 1'
_symmetry_Int_Tables_number 1
loop_
_symmetry_equiv_pos_as_xyz
'x,y,z'
loop_
_atom_site_label
_atom_site_type_symbol
_atom_site_fract_x
_atom_site_fract_y
_atom_site_fract_z
_atom_site_occupancy
Be1 Be 0.000 0.000 0.000 1
O1 O 0.000 0.000 0.500 1
O2 O 0.500 0.000 0.000 1
O3 O 0.000 0.500 0.000 1
Au1 Au 0.500 0.500 0.500 1
# Magnetic moment ... 0.0 μB/f.u.
# ΔE_f (raw) ... -4.62 kcal/mol of atoms

=====

(3)
# PBE CeGdV4, relaxed
data_CeGdV4
_cell_length_a 5.341
_cell_length_b 5.341
_cell_length_c 5.341
_cell_angle_alpha 60.00
_cell_angle_beta 60.00
_cell_angle_gamma 60.00
_symmetry_space_group_name_H-M 'P 1'
_symmetry_Int_Tables_number 1
loop_
_symmetry_equiv_pos_as_xyz
'x,y,z'
loop_
_atom_site_label
_atom_site_type_symbol
_atom_site_fract_x
_atom_site_fract_y
_atom_site_fract_z
_atom_site_occupancy
Gd1 Gd 0.000 0.000 0.000 1
V1 V 0.624 0.129 0.624 1
V2 V 0.624 0.624 0.129 1
V3 V 0.624 0.624 0.624 1
V4 V 0.129 0.624 0.624 1
Ce1 Ce 0.250 0.250 0.250 1
# Formation enthalpy at 0 K ... 0.3007 eV/atom
# Magnetic moment ... 7.0 μB/f.u.

=====

(4)
# PBE Cs2SiI6Cl, relaxed
data_Cs2SiI6Cl
_cell_length_a 8.677
_cell_length_b 8.677
_cell_length_c 8.368
_cell_angle_alpha 58.77
_cell_angle_beta 58.77
_cell_angle_gamma 90.00
_symmetry_space_group_name_H-M 'P 1'
_symmetry_Int_Tables_number 1
loop_
_symmetry_equiv_pos_as_xyz
'x,y,z'
loop_
_atom_site_label
_atom_site_type_symbol
_atom_site_fract_x
_atom_site_fract_y
_atom_site_fract_z
_atom_site_occupancy
Si1 Si 0.500 0.500 0.000 1
Cs1 Cs 0.250 0.750 0.500 1
Cs2 Cs 0.750 0.250 0.500 1
I1 I 0.280 0.280 0.000 1
I2 I 0.720 0.720 0.000 1
I3 I 0.742 0.742 0.516 1
I4 I 0.258 0.258 0.484 1
I5 I 0.720 0.280 0.000 1
I6 I 0.280 0.720 0.000 1
Cl1 Cl 0.000 0.000 0.000 1
# Magnetic moment ... 0.0 μB/f.u.
# ΔE_f (raw) ... -15.85 kcal/mol of atoms

=====

(5)
# PBE Cu3Ni3Te8, relaxed
data_Cu3Ni3Te8
_cell_length_a 7.720
_cell_length_b 7.720
_cell_length_c 7.720
_cell_angle_alpha 60.08
_cell_angle_beta 60.08
_cell_angle_gamma 60.08
_symmetry_space_group_name_H-M 'P 1'
_symmetry_Int_Tables_number 1
loop_
_symmetry_equiv_pos_as_xyz
'x,y,z'
loop_
_atom_site_label
_atom_site_type_symbol
_atom_site_fract_x
_atom_site_fract_y
_atom_site_fract_z
_atom_site_occupancy
Te1 Te 0.756 0.756 0.219 1
Te2 Te 0.756 0.219 0.756 1
Te3 Te 0.239 0.239 0.239 1
Te4 Te 0.244 0.244 0.781 1
Te5 Te 0.219 0.756 0.756 1
Te6 Te 0.244 0.781 0.244 1
Te7 Te 0.781 0.244 0.244 1
Te8 Te 0.761 0.761 0.761 1
Ni1 Ni 0.000 0.000 0.500 1
Ni2 Ni 0.000 0.500 0.000 1
Ni3 Ni 0.500 0.000 0.000 1
Cu1 Cu 0.624 0.624 0.624 1
Cu2 Cu 0.376 0.376 0.376 1
Cu3 Cu 0.000 0.000 0.000 1
# Magnetic moment ... 0.0 μB/f.u.
# ΔE_f (raw) ... -2.68 kcal/mol of atoms

=====

(6)
# PBE BaCa2AgRh, relaxed
data_BaCa2AgRh
_cell_length_a 5.468
_cell_length_b 5.468
_cell_length_c 5.933
_cell_angle_alpha 90.00
_cell_angle_beta 90.00
_cell_angle_gamma 90.00
_symmetry_space_group_name_H-M 'P 1'
_symmetry_Int_Tables_number 1
loop_
_symmetry_equiv_pos_as_xyz
'x,y,z'
loop_
_atom_site_label
_atom_site_type_symbol
_atom_site_fract_x
_atom_site_fract_y
_atom_site_fract_z
_atom_site_occupancy
Rh1 Rh 0.000 0.000 0.000 1
Ba1 Ba 0.000 0.000 0.500 1
Ca1 Ca 0.500 0.000 0.000 1
Ca2 Ca 0.000 0.500 0.000 1
Ag1 Ag 0.500 0.500 0.500 1
# Formation enthalpy at 0 K ... -0.1339 eV/atom
# Offset from the most stable computed form ... 0.0000 eV per atom
# Magnetic moment ... 0.0 μB/f.u.

=====

(7)
# PBE Sm2MgGa3Cu4, relaxed
data_Sm2MgGa3Cu4
_cell_length_a 4.207
_cell_length_b 4.207
_cell_length_c 10.356
_cell_angle_alpha 90.00
_cell_angle_beta 90.00
_cell_angle_gamma 90.00
_symmetry_space_group_name_H-M 'P 1'
_symmetry_Int_Tables_number 1
loop_
_symmetry_equiv_pos_as_xyz
'x,y,z'
loop_
_atom_site_label
_atom_site_type_symbol
_atom_site_fract_x
_atom_site_fract_y
_atom_site_fract_z
_atom_site_occupancy
Cu1 Cu 0.000 0.500 0.357 1
Cu2 Cu 0.000 0.000 0.000 1
Cu3 Cu 0.500 0.500 0.000 1
Cu4 Cu 0.500 0.000 0.643 1
Sm1 Sm 0.000 0.500 0.768 1
Sm2 Sm 0.500 0.000 0.232 1
Mg1 Mg 0.500 0.500 0.500 1
Ga1 Ga 0.500 0.000 0.875 1
Ga2 Ga 0.000 0.000 0.500 1
Ga3 Ga 0.000 0.500 0.125 1
# Formation enthalpy at 0 K ... -0.3730 eV/atom
# Magnetic moment ... 0.0 μB/f.u.

=====

(8)
# PBE HfReH3, relaxed
data_HfReH3
_cell_length_a 3.583
_cell_length_b 3.583
_cell_length_c 3.583
_cell_angle_alpha 90.00
_cell_angle_beta 90.00
_cell_angle_gamma 90.00
_symmetry_space_group_name_H-M 'P 1'
_symmetry_Int_Tables_number 1
loop_
_symmetry_equiv_pos_as_xyz
'x,y,z'
loop_
_atom_site_label
_atom_site_type_symbol
_atom_site_fract_x
_atom_site_fract_y
_atom_site_fract_z
_atom_site_occupancy
H1 H 0.000 0.000 0.500 1
H2 H 0.000 0.500 0.000 1
H3 H 0.500 0.000 0.000 1
Hf1 Hf 0.000 0.000 0.000 1
Re1 Re 0.500 0.500 0.500 1
# Energy ... -29.46 eV/cell
# Magnetic moment ... 0.0 μB/f.u.

=====

(9)
# PBE ScTi2Tc, relaxed
data_ScTi2Tc
_cell_length_a 3.298
_cell_length_b 4.539
_cell_length_c 4.539
_cell_angle_alpha 90.00
_cell_angle_beta 90.00
_cell_angle_gamma 90.00
_symmetry_space_group_name_H-M 'P 1'
_symmetry_Int_Tables_number 1
loop_
_symmetry_equiv_pos_as_xyz
'x,y,z'
loop_
_atom_site_label
_atom_site_type_symbol
_atom_site_fract_x
_atom_site_fract_y
_atom_site_fract_z
_atom_site_occupancy
Tc1 Tc 0.500 0.000 0.000 1
Sc1 Sc 0.500 0.500 0.500 1
Ti1 Ti 0.000 0.500 0.000 1
Ti2 Ti 0.000 0.000 0.500 1
# Formation enthalpy at 0 K ... -0.0539 eV/atom
# Offset from the most stable computed form ... 0.1368 eV per atom
# Magnetic moment ... 0.0 μB/f.u.

=====

(10)
# PBE Tb5CO5, relaxed
data_Tb5CO5
_cell_length_a 4.808
_cell_length_b 6.010
_cell_length_c 6.911
_cell_angle_alpha 107.15
_cell_angle_beta 90.00
_cell_angle_gamma 113.58
_symmetry_space_group_name_H-M 'P 1'
_symmetry_Int_Tables_number 1
loop_
_symmetry_equiv_pos_as_xyz
'x,y,z'
loop_
_atom_site_label
_atom_site_type_symbol
_atom_site_fract_x
_atom_site_fract_y
_atom_site_fract_z
_atom_site_occupancy
O1 O 0.679 0.358 0.324 1
O2 O 0.321 0.642 0.676 1
O3 O 0.320 0.640 0.145 1
O4 O 0.680 0.360 0.855 1
O5 O 0.000 0.000 0.500 1
Tb1 Tb 0.835 0.670 0.666 1
Tb2 Tb 0.845 0.689 0.180 1
Tb3 Tb 0.155 0.311 0.820 1
Tb4 Tb 0.500 0.000 0.000 1
Tb5 Tb 0.165 0.330 0.334 1
C1 C 0.000 0.000 0.000 1
# Magnetic moment ... 0.0 μB/f.u.
# ΔE_f (raw) ... -61.70 kcal/mol of atoms

=====

(11)
# PBE Tl2InGeO, relaxed
data_Tl2InGeO
_cell_length_a 5.461
_cell_length_b 4.237
_cell_length_c 5.461
_cell_angle_alpha 90.00
_cell_angle_beta 90.00
_cell_angle_gamma 90.00
_symmetry_space_group_name_H-M 'P 1'
_symmetry_Int_Tables_number 1
loop_
_symmetry_equiv_pos_as_xyz
'x,y,z'
loop_
_atom_site_label
_atom_site_type_symbol
_atom_site_fract_x
_atom_site_fract_y
_atom_site_fract_z
_atom_site_occupancy
Ge1 Ge 0.500 0.500 0.500 1
Tl1 Tl 0.500 0.000 0.000 1
Tl2 Tl 0.000 0.000 0.500 1
In1 In 0.000 0.500 0.000 1
O1 O 0.000 0.000 0.000 1
# Magnetic moment ... 0.0 μB/f.u.
# ΔE_f (raw) ... -1.19 kcal/mol of atoms

=====

(12)
# PBE BeCrSi2, relaxed
data_BeCrSi2
_cell_length_a 3.045
_cell_length_b 3.045
_cell_length_c 4.884
_cell_angle_alpha 90.00
_cell_angle_beta 90.00
_cell_angle_gamma 90.00
_symmetry_space_group_name_H-M 'P 1'
_symmetry_Int_Tables_number 1
loop_
_symmetry_equiv_pos_as_xyz
'x,y,z'
loop_
_atom_site_label
_atom_site_type_symbol
_atom_site_fract_x
_atom_site_fract_y
_atom_site_fract_z
_atom_site_occupancy
Cr1 Cr 0.500 0.500 0.750 1
Si1 Si 0.000 0.000 0.003 1
Si2 Si 0.000 0.000 0.497 1
Be1 Be 0.500 0.500 0.250 1
# Magnetic moment ... 0.0 μB/f.u.
# ΔE_f (raw) ... -1.26 kcal/mol of atoms